Here is crystalline Ba10LiW7O30 at its relaxed geometry from the Alexandria database. Energies are from PBE+U.

## Properties
DFT total energy, eV per atom: -7.057
Space group: No. 1

a = 5.8916 Å, b = 5.8916 Å, c = 25.1682 Å
α = 89.85°, β = 89.86°, γ = 60.02°
Fractional positions:
1 Ba 0.0000 0.0000 0.0000
2 Ba 0.0011 0.0012 0.7925
3 Ba 0.3315 0.3314 0.1858
4 Ba 0.3337 0.3338 0.8910
5 Ba 0.3360 0.3364 0.6211
6 Ba 0.6595 0.6599 0.3967
7 Ba 0.6663 0.6662 0.0985
8 Ba 0.6688 0.6690 0.7102
9 Ba 0.9930 0.9935 0.5017
10 Ba 0.9959 0.9962 0.2911
11 Li 0.6675 0.6676 0.8330
12 W 0.3236 0.3241 0.4543
13 W 0.3272 0.3275 0.3409
14 W 0.3329 0.3329 0.0486
15 W 0.3346 0.3348 0.7544
16 W 0.6619 0.6624 0.5495
17 W 0.6637 0.6641 0.2465
18 W 0.6670 0.6671 0.9493
19 O 0.0179 0.4923 0.8005
20 O 0.1762 0.1769 0.4022
21 O 0.1763 0.6229 0.3982
22 O 0.1790 0.1787 0.0892
23 O 0.1791 0.6363 0.0905
24 O 0.1812 0.1830 0.7090
25 O 0.1829 0.6415 0.7093
26 O 0.3436 0.8082 0.5832
27 O 0.3550 0.8220 0.9122
28 O 0.3575 0.8291 0.2072
29 O 0.4846 0.4850 0.4940
30 O 0.4913 0.0180 0.8005
31 O 0.4924 0.4916 0.8008
32 O 0.4987 0.9738 0.4943
33 O 0.5026 0.5028 0.0022
34 O 0.5025 0.9988 0.0011
35 O 0.5039 0.5033 0.2956
36 O 0.5054 0.9840 0.2999
37 O 0.6225 0.1764 0.3982
38 O 0.6365 0.1790 0.0904
39 O 0.6413 0.1816 0.7093
40 O 0.8080 0.3440 0.5832
41 O 0.8128 0.8133 0.5877
42 O 0.8221 0.3551 0.9122
43 O 0.8221 0.8222 0.9113
44 O 0.8223 0.8242 0.2099
45 O 0.8293 0.3582 0.2072
46 O 0.9733 0.4994 0.4942
47 O 0.9840 0.5060 0.2998
48 O 0.9986 0.5027 0.0012